# TmTh8 | the Alexandria database | PBE-GGA | optimized geometry
# N(E_F): 13.782 states/eV/f.u.
# Energy: -127.24 eV for the cell shown
# DFT formation energy: 0.02 eV per atom
data_TmTh8
_chemical_formula_sum 'Tm2 Th16'
_symmetry_space_group_name_H-M 'I 4/m m m'
_symmetry_Int_Tables_number 139
_symmetry_space_group_name_Hall '-I 4 2'
_cell_length_a 10.690
_cell_length_b 10.690
_cell_length_c 5.025
_cell_angle_alpha 90.00
_cell_angle_beta 90.00
_cell_angle_gamma 90.00
loop_
_atom_site_label
_atom_site_fract_x
_atom_site_fract_y
_atom_site_fract_z
_atom_site_occupancy
Tm1 0.000 0.000 0.000 1
Th1 0.000 0.332 0.000 1
Th2 0.167 0.167 0.500 1